Here is MgCu3Au6 after structural relaxation from Alexandria via LeMat-Bulk. Energies are from PBE.

It has space group Cmc2_1 (No. 36), with a = 9.392 Å, b = 13.254 Å, c = 5.648 Å, α = 90.00°, β = 90.00° and γ = 90.00°. The asymmetric unit holds Mg at (0.000, 0.180, 0.000), Cu at (0.000, 0.392, 0.116), Cu at (0.190, 0.097, 0.378), Au at (0.000, 0.020, 0.665), Au at (0.000, 0.246, 0.516), Au at (0.153, 0.446, 0.512) and Au at (0.233, 0.281, 0.216).

The calculation puts the total moment at 0.00 μB/cell. For the energy relative to the lowest polymorph listed for this composition, the calculation gives 128.9 meV/atom. The formation energy comes out at -0.32 eV/f.u.

Here is LiFe3Ru after structural relaxation from Alexandria via LeMat-Bulk. Energies are from PBE.

It has space group Pm-3m (No. 221), with a = 3.806 Å, b = 3.806 Å, c = 3.806 Å, α = 90.00°, β = 90.00° and γ = 90.00°. The asymmetric unit holds Li at (0.000, 0.000, 0.000), Fe at (0.000, 0.000, 0.500) and Ru at (0.500, 0.500, 0.500).

The calculation puts the total moment at 0.00 μB/cell. For the energy relative to the lowest polymorph listed for this composition, the calculation gives 0.0 meV/atom. The formation energy comes out at 5.84 eV/f.u.

Here is Tm5RuPb after structural relaxation from Alexandria via LeMat-Bulk. Energies are from PBE.

It has space group C2/c (No. 15), with a = 10.728 Å, b = 6.859 Å, c = 11.249 Å, α = 90.00°, β = 109.02° and γ = 90.00°. The asymmetric unit holds Tm at (0.000, 0.027, 0.250), Tm at (0.125, 0.333, 0.046), Tm at (0.218, 0.185, 0.636), Ru at (0.000, 0.000, 0.000) and Pb at (0.000, 0.463, 0.750).

The calculation puts the total moment at 0.00 μB/cell. The formation energy comes out at -1.10 eV/f.u.